The following is a GGA-PBE calculation of Na3TcN8 after structural relaxation, from Alexandria via LeMat-Bulk.

Its density of states at the Fermi level is 3.92 states/eV/f.u. The calculation puts the formation energy (no corrections) at 0.073 eV per atom. As for the raw total energy: -0.24513 Ha/atom.

The space group is I-42m (No. 121) and the conventional cell measures 6.289, 6.289 and 9.369 Å, with angles of 90.00, 90.00 and 90.00 degrees. Symmetry generates all atoms from Na at (0.000, 0.000, 0.000), Na at (0.000, 0.500, 0.250), Tc at (0.000, 0.000, 0.500), N at (0.221, 0.221, 0.381) and N at (0.230, 0.230, 0.510).